(1)
# Al2CrCl | the Alexandria database | PBEsol | optimized geometry
# Formation energy from raw total energies ... 82 meV/atom
# Mass density ... 3.521 g cm⁻³
# E above lowest polymorph ... 0.0 meV/atom
# VASP energy ... -5.03 eV/atom
data_Al2CrCl
_cell_length_a 2.851
_cell_length_b 2.851
_cell_length_c 8.203
_cell_angle_alpha 90.00
_cell_angle_beta 90.00
_cell_angle_gamma 90.00
_symmetry_space_group_name_H-M 'P 4 m m'
_symmetry_Int_Tables_number 99
loop_
_symmetry_equiv_pos_as_xyz
'x,y,z'
'-y,x,z'
'-x,-y,z'
'y,-x,z'
'-x,y,z'
'y,x,z'
'x,-y,z'
'-y,-x,z'
loop_
_atom_site_label
_atom_site_fract_x
_atom_site_fract_y
_atom_site_fract_z
Al1 0.000 0.000 0.000
Al2 0.500 0.500 0.250
Cr1 0.500 0.500 0.788
Cl1 0.000 0.000 0.614



(2)
# Al2CrCl | the Alexandria database | PBEsol | optimized geometry
# Formation energy from raw total energies ... 272 meV/atom
# Mass density ... 3.572 g cm⁻³
# E above lowest polymorph ... 190.0 meV/atom
# VASP energy ... -4.84 eV/atom
data_Al2CrCl
_cell_length_a 3.024
_cell_length_b 4.882
_cell_length_c 8.906
_cell_angle_alpha 90.00
_cell_angle_beta 90.00
_cell_angle_gamma 90.00
_symmetry_space_group_name_H-M 'I m m m'
_symmetry_Int_Tables_number 71
_symmetry_space_group_name_Hall '-I 2 2'
loop_
_atom_site_label
_atom_site_fract_x
_atom_site_fract_y
_atom_site_fract_z
Al1 0.000 0.000 0.246
Cr1 0.000 0.500 0.500
Cl1 0.000 0.500 0.000



(3)
# Al4CrCl | the Alexandria database | PBEsol | optimized geometry
# Formation energy from raw total energies ... 321 meV/atom
# Mass density ... 3.099 g cm⁻³
# VASP energy ... -4.45 eV/atom
data_Al4CrCl
_cell_length_a 7.481
_cell_length_b 7.481
_cell_length_c 7.481
_cell_angle_alpha 90.00
_cell_angle_beta 90.00
_cell_angle_gamma 90.00
_symmetry_space_group_name_H-M 'F -4 3 m'
_symmetry_Int_Tables_number 216
_symmetry_space_group_name_Hall 'F -4 2 3'
loop_
_atom_site_label
_atom_site_fract_x
_atom_site_fract_y
_atom_site_fract_z
Al1 0.124 0.124 0.376
Cr1 0.250 0.250 0.750
Cl1 0.000 0.000 0.000



(4)
# CsAlCl4 | the Alexandria database | PBEsol | optimized geometry
# Formation energy from raw total energies ... -1781 meV/atom
# Mass density ... 2.630 g cm⁻³
# VASP energy ... -3.96 eV/atom
data_CsAlCl4
_cell_length_a 11.649
_cell_length_b 6.980
_cell_length_c 9.370
_cell_angle_alpha 90.00
_cell_angle_beta 90.00
_cell_angle_gamma 90.00
_symmetry_space_group_name_H-M 'P n m a'
_symmetry_Int_Tables_number 62
loop_
_symmetry_equiv_pos_as_xyz
'x,y,z'
'-x,-y,-z'
'-x+1/2,-y,z+1/2'
'x+1/2,y,-z+1/2'
'x+1/2,-y+1/2,-z+1/2'
'-x+1/2,y+1/2,z+1/2'
'-x,y+1/2,-z'
'x,-y+1/2,z'
loop_
_atom_site_label
_atom_site_fract_x
_atom_site_fract_y
_atom_site_fract_z
Cs1 0.182 0.250 0.161
Al1 0.067 0.250 0.699
Cl1 0.087 0.001 0.832
Cl2 0.101 0.750 0.393
Cl3 0.202 0.250 0.543



(5)
# Cs2AlInCl6 | the Alexandria database | PBEsol | optimized geometry
# Formation energy from raw total energies ... -1603 meV/atom
# Mass density ... 3.472 g cm⁻³
# VASP energy ... -3.70 eV/atom
data_Cs2AlInCl6
_cell_length_a 10.587
_cell_length_b 10.587
_cell_length_c 10.587
_cell_angle_alpha 90.00
_cell_angle_beta 90.00
_cell_angle_gamma 90.00
_symmetry_space_group_name_H-M 'F m -3 m'
_symmetry_Int_Tables_number 225
_symmetry_space_group_name_Hall '-F 4 2 3'
loop_
_atom_site_label
_atom_site_fract_x
_atom_site_fract_y
_atom_site_fract_z
Cs1 0.250 0.250 0.250
Al1 0.000 0.000 0.000
In1 0.000 0.000 0.500
Cl1 0.000 0.000 0.220



(6)
# Cs2KAlCl6 | the Alexandria database | PBEsol | optimized geometry
# Formation energy from raw total energies ... -1852 meV/atom
# Mass density ... 3.087 g cm⁻³
# VASP energy ... -3.77 eV/atom
data_Cs2KAlCl6
_cell_length_a 10.543
_cell_length_b 10.543
_cell_length_c 10.543
_cell_angle_alpha 90.00
_cell_angle_beta 90.00
_cell_angle_gamma 90.00
_symmetry_space_group_name_H-M 'F m -3 m'
_symmetry_Int_Tables_number 225
_symmetry_space_group_name_Hall '-F 4 2 3'
loop_
_atom_site_label
_atom_site_fract_x
_atom_site_fract_y
_atom_site_fract_z
Cs1 0.250 0.250 0.250
K1 0.000 0.000 0.000
Al1 0.000 0.000 0.500
Cl1 0.000 0.000 0.279



Q: Which value of VASP energy does entry 1 give?
A: -5.03 eV/atom



Q: Which of these has the highest formation energy from raw total energies?
A: Al4CrCl